DFT (GGA-PBE) results for AlGa2Pd2 after structural relaxation.

Unit cell a=6.8373 b=6.8373 c=3.4496 alpha=90.00 beta=90.00 gamma=90.00
With the nearest neighbours (Å) after each atom.
Space group P4/mbm (No. 127)
Unique sites:
Al: 0.0000 0.0000 0.0000 (multiplicity 2)  4 Pd 2.59
Ga: 0.1498 0.3502 0.5000 (multiplicity 4)  6 Pd 2.57-2.69
Pd: 0.1527 0.6527 0.0000 (multiplicity 4)  6 Ga 2.57-2.69, 2 Al 2.59

Results
Excess energy over the best structure of this formula in the dataset   168 meV per atom
Energy relative to the elements   -2.2 eV per formula unit
Total energy   -44.846 eV per cell
Crystal system   tetragonal